NdTiPd3: optimized geometry, GGA-PBE.

Properties
As for the space-group type: P6_3/mmc (194). The raw total energy is -6.23 eV per atom. The calculation puts the energy of formation from the pure elements at -0.586 eV per atom. Its density of states at the Fermi level is 5.3 states/eV/cell. Its theoretical density is 8.4 g cm⁻³.

a = 6.3258 Å, b = 6.3258 Å, c = 5.8172 Å
α = 90.00°, β = 90.00°, γ = 120.00°
Atoms (fractional coordinates):
Nd: 0.3333 0.6667 0.2500
Nd: 0.6667 0.3333 0.7500
Ti: 0.0000 0.0000 0.0000
Ti: 0.0000 0.0000 0.5000
Pd: 0.1904 0.3807 0.7500
Pd: 0.1904 0.8096 0.7500
Pd: 0.3807 0.1904 0.2500
Pd: 0.6193 0.8096 0.7500
Pd: 0.8096 0.1904 0.2500
Pd: 0.8096 0.6193 0.2500